Record 1
DFT (PBE) results for crystalline KCdTe2I at its relaxed geometry.

Properties
- final energy (eV for the cell shown) = -11.395
- formation energy without anion corrections (eV per atom) = -0.31
- Fermi-level density of states (states/eV per cell) = 7.6
- total magnetic moment (μB/cell) = 0.00

abc: 5.633 5.633 6.422
angles: 90.00 90.00 90.00
Element x y z (fractional)
Cd 0.000 0.000 0.000
K 0.500 0.500 0.500
I 0.000 0.000 0.500
Te 0.500 0.000 0.000
Te 0.000 0.500 0.000

***

Record 2
DFT (PBE) results for crystalline CsHoCl4 at its relaxed geometry.

Properties
- final energy (eV for the cell shown) = -52.299
- formation energy without anion corrections (eV per atom) = -2.22
- Fermi-level density of states (states/eV per cell) = 0.0
- total magnetic moment (μB/cell) = 0.00

abc: 6.761 8.731 9.471
angles: 114.68 107.51 96.99
Element x y z (fractional)
Ho 0.827 0.577 0.653
Ho 0.173 0.423 0.347
Cl 0.737 0.529 0.877
Cl 0.488 0.276 0.412
Cl 0.076 0.365 0.588
Cl 0.924 0.635 0.412
Cl 0.263 0.471 0.123
Cl 0.512 0.724 0.588
Cl 0.139 0.847 0.877
Cl 0.861 0.153 0.123
Cs 0.409 0.159 0.819
Cs 0.591 0.841 0.181

***

Record 3
DFT (PBE) results for crystalline Cu2MoRh at its relaxed geometry.

Properties
- formation enthalpy at 0 K (eV/f.u.) = 0.64
- final energy (eV for the cell shown) = -25.736
- Fermi-level density of states (states/eV per cell) = 3.5
- total magnetic moment (μB/cell) = 0.00

abc: 2.650 2.650 7.738
angles: 90.00 90.00 90.00
Element x y z (fractional)
Mo 0.500 0.500 0.250
Rh 0.500 0.500 0.750
Cu 0.000 0.000 0.992
Cu 0.000 0.000 0.508

***

Record 4
DFT (PBE) results for crystalline LiTl2TeS4 at its relaxed geometry.

Properties
- final energy (eV for the cell shown) = -57.609
- formation energy without anion corrections (eV per atom) = -0.31
- Fermi-level density of states (states/eV per cell) = 5.4
- total magnetic moment (μB/cell) = 0.00

abc: 8.105 8.105 8.207
angles: 120.41 120.41 89.97
Element x y z (fractional)
Te 0.500 0.500 0.500
Te 0.000 0.000 0.000
S 0.237 0.263 0.027
S 0.751 0.284 0.517
S 0.237 0.263 0.473
S 0.763 0.737 0.527
S 0.216 0.749 0.983
S 0.784 0.251 0.017
S 0.763 0.737 0.973
S 0.249 0.716 0.483
Tl 0.000 0.000 0.500
Tl 0.500 0.000 0.000
Tl 0.500 0.000 0.500
Tl 0.500 0.500 0.000
Li 0.000 0.500 0.500
Li 0.000 0.500 0.000

***

Record 5
DFT (PBE) results for crystalline BaSb3 at its relaxed geometry.

Properties
- final energy (eV for the cell shown) = -30.350
- formation energy without anion corrections (eV per atom) = -0.22
- Fermi-level density of states (states/eV per cell) = 7.6
- total magnetic moment (μB/cell) = 0.00

abc: 6.372 6.372 6.372
angles: 90.00 90.00 90.00
Element x y z (fractional)
Sb 0.250 0.500 0.000
Sb 0.500 0.000 0.250
Sb 0.500 0.000 0.750
Sb 0.750 0.500 0.000
Sb 0.000 0.250 0.500
Sb 0.000 0.750 0.500
Ba 0.500 0.500 0.500
Ba 0.000 0.000 0.000

***

Record 6
DFT (PBE) results for crystalline Li3Ac2HgGe4 at its relaxed geometry.

Properties
- formation enthalpy at 0 K (eV/f.u.) = -5.33
- final energy (eV for the cell shown) = -38.059
- Fermi-level density of states (states/eV per cell) = 3.9
- total magnetic moment (μB/cell) = 0.00

abc: 4.430 4.430 11.055
angles: 90.00 90.00 90.00
Element x y z (fractional)
Li 0.000 0.000 0.500
Li 0.500 0.000 0.879
Li 0.000 0.500 0.121
Ge 0.000 0.500 0.351
Ge 0.000 0.000 0.000
Ge 0.500 0.000 0.649
Ge 0.500 0.500 0.000
Hg 0.500 0.500 0.500
Ac 0.000 0.500 0.758
Ac 0.500 0.000 0.242

***

Record 7
DFT (PBE) results for crystalline Ac2Cd3Hg2 at its relaxed geometry.

Properties
- formation enthalpy at 0 K (eV/f.u.) = -1.71
- final energy (eV for the cell shown) = -13.271
- Fermi-level density of states (states/eV per cell) = 6.3
- total magnetic moment (μB/cell) = 0.00

abc: 3.848 4.881 11.446
angles: 102.31 90.00 90.00
Element x y z (fractional)
Cd 0.500 0.566 0.132
Cd 0.000 0.000 0.000
Cd 0.500 0.434 0.868
Ac 0.000 0.156 0.312
Ac 0.000 0.844 0.688
Hg 0.500 0.289 0.577
Hg 0.500 0.711 0.423

***

Record 8
DFT (PBE) results for crystalline TaAs2AuSe at its relaxed geometry.

Properties
- final energy (eV for the cell shown) = -21.525
- formation energy without anion corrections (eV per atom) = 1.28
- Fermi-level density of states (states/eV per cell) = 6.5
- total magnetic moment (μB/cell) = 0.00

abc: 4.878 4.878 4.989
angles: 90.00 90.00 90.00
Element x y z (fractional)
Au 0.000 0.000 0.000
As 0.500 0.000 0.000
As 0.000 0.500 0.000
Ta 0.500 0.500 0.500
Se 0.000 0.000 0.500